DFT (PBE) results for a geometry-optimized TbEr2Co structure.

Calculated values
As for the space-group type: No. 62. The formation energy is -176.2 meV per atom. The total DFT energy (no corrections) comes out at -21.57 eV/f.u. Its energy above the most stable polymorph in this dataset is 0.000 eV/atom.

a b c (Å): 6.9102 9.3283 6.2210
angles (deg): 90.00 90.00 90.00
Positions (direct):
Tb 0.0423 0.2500 0.1397
Tb 0.4577 0.7500 0.6397
Tb 0.5423 0.2500 0.3603
Tb 0.9577 0.7500 0.8603
Er 0.1736 0.0678 0.6767
Er 0.1736 0.4322 0.6767
Er 0.3264 0.5678 0.1767
Er 0.3264 0.9322 0.1767
Er 0.6736 0.0678 0.8233
Er 0.6736 0.4322 0.8233
Er 0.8264 0.5678 0.3233
Er 0.8264 0.9322 0.3233
Co 0.1132 0.7500 0.4503
Co 0.3868 0.2500 0.9503
Co 0.6132 0.7500 0.0497
Co 0.8868 0.2500 0.5497

DFT (PBE) results for a geometry-optimized TaMnGe2W structure.

Calculated values
As for the space-group type: No. 123. The formation energy is 1912.7 meV per atom. The total DFT energy (no corrections) comes out at -33.65 eV/f.u.

a b c (Å): 4.8961 4.8961 4.9041
angles (deg): 90.00 90.00 90.00
Positions (direct):
Ta 0.0000 0.0000 0.0000
Mn 0.5000 0.5000 0.5000
Ge 0.0000 0.5000 0.0000
Ge 0.5000 0.0000 0.0000
W 0.0000 0.0000 0.5000

DFT (PBE) results for a geometry-optimized ReIrPd3 structure.

Calculated values
As for the space-group type: No. 221. The formation energy is 1802.6 meV per atom. The total DFT energy (no corrections) comes out at -27.87 eV/f.u. Its energy above the most stable polymorph in this dataset is 0.000 eV/atom.

a b c (Å): 4.7094 4.7094 4.7094
angles (deg): 90.00 90.00 90.00
Positions (direct):
Re 0.0000 0.0000 0.0000
Ir 0.5000 0.5000 0.5000
Pd 0.0000 0.0000 0.5000
Pd 0.0000 0.5000 0.0000
Pd 0.5000 0.0000 0.0000

DFT (PBE) results for a geometry-optimized GdCo4Os structure.

Calculated values
As for the space-group type: No. 216. The formation energy is 106.1 meV per atom. The total DFT energy (no corrections) comes out at -53.10 eV/f.u.

a b c (Å): 4.8996 4.8996 4.8996
angles (deg): 60.00 60.00 60.00
Positions (direct):
Gd 0.0000 0.0000 0.0000
Co 0.3752 0.3752 0.3752
Co 0.3752 0.3752 0.8744
Co 0.3752 0.8744 0.3752
Co 0.8744 0.3752 0.3752
Os 0.7500 0.7500 0.7500

Please write out number 2 again, unchanged.
DFT (PBE) results for a geometry-optimized TaMnGe2W structure.

Calculated values
As for the space-group type: No. 123. The formation energy is 1912.7 meV per atom. The total DFT energy (no corrections) comes out at -33.65 eV/f.u.

a b c (Å): 4.8961 4.8961 4.9041
angles (deg): 90.00 90.00 90.00
Positions (direct):
Ta 0.0000 0.0000 0.0000
Mn 0.5000 0.5000 0.5000
Ge 0.0000 0.5000 0.0000
Ge 0.5000 0.0000 0.0000
W 0.0000 0.0000 0.5000

> The highest total DFT energy (no corrections) belongs to which entry?

TbEr2Co

What did the fourth record say?
DFT (PBE) results for a geometry-optimized GdCo4Os structure.

Calculated values
As for the space-group type: No. 216. The formation energy is 106.1 meV per atom. The total DFT energy (no corrections) comes out at -53.10 eV/f.u.

a b c (Å): 4.8996 4.8996 4.8996
angles (deg): 60.00 60.00 60.00
Positions (direct):
Gd 0.0000 0.0000 0.0000
Co 0.3752 0.3752 0.3752
Co 0.3752 0.3752 0.8744
Co 0.3752 0.8744 0.3752
Co 0.8744 0.3752 0.3752
Os 0.7500 0.7500 0.7500